Record 1
This record from Alexandria via LeMat-Bulk describes crystalline MnSbIr2 at its relaxed geometry. The functional is PBE.

Unit cell a=2.9963 b=2.9963 c=7.2057 alpha=90.00 beta=90.00 gamma=90.00
Space group P4mm (No. 99)
Symmetry-distinct sites (fractional):
Mn 0.0000 0.0000 0.0000 [1 per cell]
Sb 0.5000 0.5000 0.2791 [1 per cell]
Ir 0.0000 0.0000 0.5312 [1 per cell]
Ir 0.5000 0.5000 0.7923 [1 per cell]

Values from the calculation:
For the uncorrected formation energy, the calculation gives 0.26 eV/atom. As for the size of the total moment: 2.904 μB per formula unit. Its raw total energy is -7.489 eV/atom.

Record 2
This record from Alexandria via LeMat-Bulk describes crystalline MnSbIr2 at its relaxed geometry. The functional is PBE.

Unit cell a=4.1324 b=4.1324 c=7.3858 alpha=90.00 beta=90.00 gamma=90.00
Space group I4/mmm (No. 139)
Symmetry-distinct sites (fractional):
Mn 0.0000 0.0000 0.0000 [2 per cell]
Sb 0.0000 0.0000 0.5000 [2 per cell]
Ir 0.0000 0.5000 0.2500 [4 per cell]

Values from the calculation:
For the uncorrected formation energy, the calculation gives -0.07 eV/atom. As for the size of the total moment: 4.121 μB per formula unit. Its raw total energy is -7.826 eV/atom.

Record 3
This record from Alexandria via LeMat-Bulk describes crystalline MnSbIr2 at its relaxed geometry. The functional is PBE.

Unit cell a=3.0285 b=3.9855 c=5.4527 alpha=90.00 beta=90.00 gamma=90.00
Space group Pmm2 (No. 25)
Symmetry-distinct sites (fractional):
Mn 0.0000 0.0000 0.0000 [1 per cell]
Sb 0.5000 0.5000 0.3282 [1 per cell]
Ir 0.0000 0.0000 0.5248 [1 per cell]
Ir 0.5000 0.5000 0.8416 [1 per cell]

Values from the calculation:
For the uncorrected formation energy, the calculation gives 0.11 eV/atom. As for the size of the total moment: 3.814 μB per formula unit. Its raw total energy is -7.645 eV/atom.

Record 4
This record from Alexandria via LeMat-Bulk describes crystalline MnSbIr2 at its relaxed geometry. The functional is PBE.

Unit cell a=3.3183 b=3.3183 c=5.8803 alpha=90.00 beta=90.00 gamma=90.00
Space group P4/mmm (No. 123)
Symmetry-distinct sites (fractional):
Mn 0.0000 0.0000 0.0000 [1 per cell]
Sb 0.0000 0.0000 0.5000 [1 per cell]
Ir 0.5000 0.5000 0.2363 [2 per cell]

Values from the calculation:
For the uncorrected formation energy, the calculation gives 0.07 eV/atom. As for the size of the total moment: 3.914 μB per formula unit. Its raw total energy is -7.685 eV/atom.

Record 5
This record from Alexandria via LeMat-Bulk describes crystalline MnSbIr2 at its relaxed geometry. The functional is PBE.

Unit cell a=6.3549 b=6.3549 c=6.3549 alpha=90.00 beta=90.00 gamma=90.00
Space group F-43m (No. 216)
Symmetry-distinct sites (fractional):
Mn 0.0000 0.0000 0.0000 [4 per cell]
Sb 0.2500 0.2500 0.2500 [4 per cell]
Ir 0.0000 0.0000 0.5000 [4 per cell]
Ir 0.2500 0.2500 0.7500 [4 per cell]

Values from the calculation:
For the uncorrected formation energy, the calculation gives 0.27 eV/atom. As for the size of the total moment: 3.229 μB per formula unit. Its raw total energy is -7.484 eV/atom.

Record 6
This record from Alexandria via LeMat-Bulk describes crystalline MnSb2Ir at its relaxed geometry. The functional is PBE.

Unit cell a=6.6837 b=6.6837 c=6.6837 alpha=90.00 beta=90.00 gamma=90.00
Space group Fm-3m (No. 225)
Symmetry-distinct sites (fractional):
Mn 0.0000 0.0000 0.0000 [4 per cell]
Sb 0.2500 0.2500 0.2500 [8 per cell]
Ir 0.0000 0.0000 0.5000 [4 per cell]

Values from the calculation:
For the uncorrected formation energy, the calculation gives 0.24 eV/atom. As for the size of the total moment: 3.491 μB per formula unit. Its raw total energy is -6.328 eV/atom. The calculation puts the polymorph energy (0 for the lowest one) at 247 meV per atom.